1.
KInSeBr2: optimized geometry, PBE.

```
KInSeBr2
1.0
6.135 0.000 0.000
0.000 6.135 0.000
0.000 0.000 5.978
K Se Br In
1 1 2 1
direct
0.000 0.000 0.000 K
0.000 0.000 0.500 Se
0.000 0.500 0.000 Br
0.500 0.000 0.000 Br
0.500 0.500 0.500 In
```

Summary:
ΔE to the lowest computed polymorph = 0.667 eV/atom
Spin magnetization = 0.406 μB/atom
E_tot = -11.64 eV per cell

2.
KInSeBr2: optimized geometry, PBE.

```
KInSeBr2
1.0
5.673 0.000 0.000
0.000 5.673 0.000
0.000 0.000 5.243
K Se Br In
1 1 2 1
direct
0.500 0.500 0.500 K
0.000 0.000 0.500 Se
0.000 0.500 0.000 Br
0.500 0.000 0.000 Br
0.000 0.000 0.000 In
```

Summary:
ΔE to the lowest computed polymorph = 0.000 eV/atom
Spin magnetization = 0.000 μB/atom
E_tot = -14.98 eV per cell

3.
K2InSiBr: optimized geometry, PBE.

```
K2InSiBr
1.0
6.890 0.000 0.000
0.000 5.728 0.000
0.000 0.000 6.890
K Si Br In
2 1 1 1
direct
0.000 0.000 0.500 K
0.500 0.000 0.000 K
0.500 0.500 0.500 Si
0.000 0.500 0.000 Br
0.000 0.000 0.000 In
```

Summary:
Spin magnetization = 0.406 μB/atom
E_tot = -10.16 eV per cell

4.
KSmIn2Br6: optimized geometry, PBE.

```
KSmIn2Br6
1.0
8.161 0.001 0.000
4.082 7.069 0.000
4.081 2.357 7.008
K Sm In Br
1 1 2 6
direct
0.815 0.815 0.556 K
0.322 0.322 0.033 Sm
0.523 0.523 0.430 In
0.018 0.018 0.945 In
0.571 0.203 0.247 Br
0.203 0.979 0.246 Br
0.979 0.571 0.246 Br
0.425 0.677 0.770 Br
0.677 0.128 0.770 Br
0.128 0.425 0.770 Br
```

Summary:
Spin magnetization = 0.000 μB/atom
E_tot = -35.09 eV per cell

5.
K2InSnBr5: optimized geometry, PBE.

```
K2InSnBr5
1.0
-2.631 0.688 3.589
5.630 -7.519 2.744
11.353 10.783 6.256
K In Sn Br
4 2 2 10
direct
0.849 0.698 0.757 K
0.056 0.111 0.660 K
0.151 0.302 0.257 K
0.944 0.889 0.160 K
0.556 0.112 0.938 In
0.444 0.888 0.438 In
0.741 0.483 0.535 Sn
0.259 0.517 0.035 Sn
0.410 0.820 0.021 Br
0.744 0.488 0.918 Br
0.474 0.947 0.768 Br
0.234 0.467 0.664 Br
0.900 0.801 0.562 Br
0.590 0.180 0.521 Br
0.256 0.512 0.418 Br
0.526 0.053 0.268 Br
0.766 0.533 0.164 Br
0.100 0.199 0.062 Br
```

Summary:
Spin magnetization = 0.000 μB/atom
E_tot = -55.45 eV per cell

6.
KInSn2Br6: optimized geometry, PBE.

```
KInSn2Br6
1.0
-2.195 -6.680 3.725
9.435 -3.992 1.035
2.365 3.073 9.539
K In Sn Br
2 2 4 12
direct
0.250 0.273 0.727 K
0.750 0.727 0.273 K
0.250 0.900 0.100 In
0.750 0.100 0.900 In
0.482 0.835 0.673 Sn
0.018 0.327 0.165 Sn
0.518 0.165 0.327 Sn
0.982 0.673 0.835 Sn
0.131 0.959 0.809 Br
0.369 0.191 0.041 Br
0.869 0.041 0.191 Br
0.631 0.809 0.959 Br
0.397 0.887 0.402 Br
0.103 0.598 0.113 Br
0.603 0.113 0.598 Br
0.897 0.402 0.887 Br
0.306 0.589 0.707 Br
0.194 0.293 0.411 Br
0.694 0.411 0.293 Br
0.806 0.707 0.589 Br
```

Summary:
Spin magnetization = 0.000 μB/atom
E_tot = -62.59 eV per cell

7.
KInSn2Br8: optimized geometry, PBE.

```
KInSn2Br8
1.0
7.126 0.068 -0.009
0.116 6.775 -0.002
0.001 0.018 8.986
K In Sn Br
1 1 2 8
direct
0.000 0.000 0.500 K
0.000 0.000 0.000 In
0.501 0.500 0.753 Sn
0.499 0.500 0.247 Sn
0.152 0.760 0.216 Br
0.683 0.771 0.999 Br
0.847 0.239 0.215 Br
0.848 0.240 0.784 Br
0.317 0.229 0.001 Br
0.153 0.761 0.785 Br
0.635 0.724 0.500 Br
0.365 0.276 0.500 Br
```

Summary:
Spin magnetization = 0.000 μB/atom
E_tot = -36.14 eV per cell

8.
K2InSnBr6: optimized geometry, PBE.

```
K2InSnBr6
1.0
-2.742 5.778 4.711
-7.080 3.292 -1.461
-6.260 -1.633 5.058
K In Sn Br
2 1 1 6
direct
0.533 0.533 0.400 K
0.033 0.033 0.902 K
0.820 0.820 0.541 In
0.320 0.320 0.040 Sn
0.582 0.162 0.273 Br
0.162 0.982 0.273 Br
0.982 0.582 0.273 Br
0.482 0.665 0.771 Br
0.665 0.081 0.771 Br
0.081 0.482 0.771 Br
```

Summary:
Spin magnetization = 0.000 μB/atom
E_tot = -30.34 eV per cell

9.
KInSnBr6: optimized geometry, PBE.

```
KInSnBr6
1.0
7.488 0.000 0.000
-3.744 6.484 0.000
0.000 0.000 14.206
K In Sn Br
2 2 2 12
direct
0.000 0.000 0.000 K
0.000 0.000 0.500 K
0.667 0.333 0.250 In
0.333 0.667 0.750 In
0.333 0.667 0.250 Sn
0.667 0.333 0.750 Sn
0.647 0.618 0.137 Br
0.971 0.353 0.137 Br
0.353 0.971 0.637 Br
0.029 0.647 0.863 Br
0.382 0.353 0.363 Br
0.971 0.618 0.363 Br
0.618 0.971 0.863 Br
0.647 0.029 0.363 Br
0.029 0.382 0.637 Br
0.382 0.029 0.137 Br
0.618 0.647 0.637 Br
0.353 0.382 0.863 Br
```

Summary:
Spin magnetization = 0.000 μB/atom
E_tot = -53.99 eV per cell

10.
K2In3SnBr6: optimized geometry, PBE.

```
K2In3SnBr6
1.0
7.852 -0.066 -0.034
-3.981 6.768 -0.034
-1.326 -2.296 8.282
K In Sn Br
2 3 1 6
direct
0.337 0.663 0.000 K
0.663 0.337 0.000 K
0.174 0.826 0.500 In
0.826 0.174 0.500 In
0.500 0.500 0.500 In
0.000 0.000 0.000 Sn
0.926 0.614 0.775 Br
0.771 0.771 0.241 Br
0.074 0.386 0.225 Br
0.614 0.926 0.775 Br
0.229 0.229 0.759 Br
0.386 0.074 0.225 Br
```

Summary:
Spin magnetization = 0.000 μB/atom
E_tot = -35.11 eV per cell

11.
K3In3SnBr8: optimized geometry, PBE.

```
K3In3SnBr8
1.0
-1.244 -9.232 -1.688
2.186 5.859 -7.105
6.467 -2.076 6.587
K In Sn Br
3 3 1 8
direct
0.000 0.000 0.000 K
0.000 0.500 0.000 K
0.500 0.500 0.000 K
0.500 0.000 0.500 In
0.500 0.500 0.500 In
0.000 0.500 0.500 In
0.000 0.000 0.500 Sn
0.249 0.497 0.246 Br
0.751 0.503 0.754 Br
0.775 0.549 0.272 Br
0.225 0.451 0.728 Br
0.775 0.997 0.272 Br
0.225 0.003 0.728 Br
0.222 0.997 0.272 Br
0.778 0.003 0.728 Br
```

Summary:
Spin magnetization = 0.000 μB/atom
E_tot = -45.62 eV per cell

12.
KIn2SnBr5: optimized geometry, PBE.

```
KIn2SnBr5
1.0
-2.496 3.285 1.775
3.271 -4.838 7.870
13.487 9.965 0.521
K In Sn Br
2 4 2 10
direct
0.554 0.108 0.938 K
0.446 0.892 0.438 K
0.858 0.717 0.757 In
0.065 0.129 0.654 In
0.142 0.283 0.257 In
0.935 0.871 0.154 In
0.754 0.509 0.536 Sn
0.246 0.491 0.036 Sn
0.399 0.797 0.021 Br
0.727 0.454 0.917 Br
0.477 0.954 0.768 Br
0.246 0.492 0.662 Br
0.912 0.824 0.570 Br
0.601 0.203 0.521 Br
0.273 0.546 0.417 Br
0.523 0.046 0.268 Br
0.754 0.508 0.162 Br
0.088 0.176 0.070 Br
```

Summary:
Spin magnetization = 0.000 μB/atom
E_tot = -54.32 eV per cell

13.
KIn2SnBr6: optimized geometry, PBE.

```
KIn2SnBr6
1.0
7.863 0.000 -0.001
-3.931 6.809 -0.002
-3.930 -2.269 7.067
K In Sn Br
1 2 1 6
direct
0.005 0.502 0.493 K
0.598 0.798 0.382 In
0.618 0.308 0.912 In
0.981 0.990 0.957 Sn
0.530 0.932 0.678 Br
0.463 0.053 0.175 Br
0.780 0.726 0.175 Br
0.136 0.410 0.175 Br
0.761 0.598 0.678 Br
0.094 0.161 0.678 Br
```

Summary:
Spin magnetization = 0.000 μB/atom
E_tot = -29.59 eV per cell

14.
KIn2Sn2Br7: optimized geometry, PBE.

```
KIn2Sn2Br7
1.0
5.770 0.000 0.000
0.000 6.575 0.000
-2.885 -3.288 12.485
K In Sn Br
1 2 2 7
direct
0.000 0.091 0.000 K
0.293 0.880 0.585 In
0.707 0.294 0.415 In
0.387 0.380 0.774 Sn
0.613 0.606 0.226 Sn
0.415 0.809 0.829 Br
0.732 0.862 0.464 Br
0.113 0.524 0.226 Br
0.585 0.979 0.171 Br
0.268 0.397 0.536 Br
0.887 0.298 0.774 Br
0.500 0.380 0.000 Br
```

Summary:
Spin magnetization = 0.000 μB/atom
E_tot = -36.75 eV per cell

15.
K2SrInBr5: optimized geometry, PBE.

```
K2SrInBr5
1.0
-1.696 -4.181 -0.815
7.661 -1.751 5.943
-10.143 1.481 13.511
K Sr In Br
4 2 2 10
direct
0.848 0.696 0.757 K
0.052 0.105 0.663 K
0.152 0.304 0.257 K
0.948 0.895 0.163 K
0.742 0.484 0.531 Sr
0.258 0.516 0.031 Sr
0.555 0.109 0.939 In
0.445 0.891 0.439 In
0.415 0.830 0.030 Br
0.742 0.483 0.912 Br
0.470 0.941 0.770 Br
0.234 0.469 0.659 Br
0.899 0.798 0.562 Br
0.585 0.170 0.530 Br
0.258 0.517 0.412 Br
0.530 0.059 0.270 Br
0.766 0.531 0.159 Br
0.101 0.202 0.062 Br
```

Summary:
Spin magnetization = 0.000 μB/atom
E_tot = -58.87 eV per cell

16.
KSr2InBr8: optimized geometry, PBE.

```
KSr2InBr8
1.0
-5.040 -4.919 0.605
0.992 -1.847 -6.467
6.408 -6.229 2.758
K Sr In Br
1 2 1 8
direct
0.000 0.000 0.500 K
0.500 0.500 0.757 Sr
0.500 0.500 0.243 Sr
0.000 0.000 0.000 In
0.145 0.770 0.208 Br
0.671 0.760 0.000 Br
0.854 0.229 0.208 Br
0.855 0.230 0.792 Br
0.329 0.240 0.000 Br
0.146 0.771 0.792 Br
0.624 0.740 0.500 Br
0.376 0.260 0.500 Br
```

Summary:
Spin magnetization = 0.000 μB/atom
E_tot = -39.55 eV per cell

17.
KTbIn2Br6: optimized geometry, PBE.

```
KTbIn2Br6
1.0
-2.520 -7.073 3.118
1.768 -6.978 -3.777
5.643 -5.173 3.442
K Tb In Br
1 1 2 6
direct
0.815 0.815 0.554 K
0.323 0.323 0.031 Tb
0.524 0.524 0.427 In
0.019 0.019 0.944 In
0.566 0.203 0.246 Br
0.203 0.985 0.246 Br
0.985 0.566 0.246 Br
0.427 0.672 0.773 Br
0.673 0.126 0.774 Br
0.127 0.427 0.773 Br
```

Summary:
Spin magnetization = 0.000 μB/atom
E_tot = -35.01 eV per cell

18.
KThInBr6: optimized geometry, PBE.

```
KThInBr6
1.0
8.108 0.000 0.000
-4.054 7.022 0.000
0.000 0.000 13.637
K Th In Br
2 2 2 12
direct
0.000 0.000 0.000 K
0.000 0.000 0.500 K
0.667 0.333 0.250 Th
0.333 0.667 0.750 Th
0.333 0.667 0.250 In
0.667 0.333 0.750 In
0.664 0.622 0.131 Br
0.958 0.336 0.131 Br
0.336 0.958 0.631 Br
0.042 0.664 0.869 Br
0.378 0.336 0.369 Br
0.958 0.622 0.369 Br
0.622 0.958 0.869 Br
0.664 0.042 0.369 Br
0.042 0.378 0.631 Br
0.378 0.042 0.131 Br
0.622 0.664 0.631 Br
0.336 0.378 0.869 Br
```

Summary:
Spin magnetization = 0.000 μB/atom
E_tot = -70.13 eV per cell

19.
KTiInBr6: optimized geometry, PBE.

```
KTiInBr6
1.0
-4.480 4.995 3.798
-5.731 3.634 -3.659
-4.088 -4.863 1.579
K Ti In Br
1 1 1 6
direct
0.666 0.666 0.500 K
0.333 0.333 0.500 Ti
0.999 0.999 0.000 In
0.069 0.329 0.273 Br
0.329 0.069 0.727 Br
0.603 0.328 0.727 Br
0.067 0.605 0.726 Br
0.328 0.603 0.273 Br
0.605 0.067 0.274 Br
```

Summary:
Spin magnetization = 0.000 μB/atom
E_tot = -32.16 eV per cell

20.
K2TiInBr6: optimized geometry, PBE.

```
K2TiInBr6
1.0
7.922 0.001 0.001
3.962 6.859 0.001
3.962 2.287 6.654
K Ti In Br
2 1 1 6
direct
0.538 0.538 0.386 K
0.027 0.027 0.919 K
0.323 0.323 0.031 Ti
0.815 0.815 0.555 In
0.545 0.199 0.248 Br
0.199 0.008 0.248 Br
0.008 0.545 0.248 Br
0.445 0.644 0.794 Br
0.645 0.116 0.794 Br
0.116 0.445 0.794 Br
```

Summary:
Spin magnetization = 0.100 μB/atom
E_tot = -35.78 eV per cell

no.,formation energy (no corrections) (eV/atom)
1,-0.20
2,-0.86
3,0.37
4,-1.38
5,-1.16
6,-0.94
7,-0.91
8,-1.14
9,-1.01
10,-0.89
11,-1.12
12,-0.91
13,-0.90
14,-0.87
15,-1.61
16,-1.58
17,-1.38
18,-1.53
19,-1.16
20,-1.29